[1]
ZrMn2Br | PBE-GGA | optimized geometry

Results
DOS(E_F) (states/eV/atom): 0.825
Final energy (eV/atom): -6.7693
ρ (g cm⁻³): 6.0

a b c (Å): 5.1813 5.1813 3.2142
angles (deg): 90.00 90.00 116.55
With the nearest neighbours (Å) after each atom.
Positions (direct):
Br  0.0000  0.5000  0.5000  2 Zr 2.72, 8 Mn 3.05
Mn  0.5000  0.5000  0.0000  2 Mn 2.72, 4 Zr 3.05, 4 Br 3.05
Zr  0.5000  0.0000  0.5000  2 Br 2.72, 8 Mn 3.05
Mn  0.0000  0.0000  0.0000  2 Mn 2.72, 4 Br 3.05, 4 Zr 3.05

[2]
TaSeOF2 | PBE-GGA | optimized geometry

Results
DOS(E_F) (states/eV/atom): 0.625
Final energy (eV/atom): -6.3594
ρ (g cm⁻³): 7.3

a b c (Å): 4.2708 4.2708 3.9248
angles (deg): 90.00 90.00 90.00
With the nearest neighbours (Å) after each atom.
Positions (direct):
F  0.5000  0.0000  0.0000  2 Ta 2.14
Se  0.5000  0.5000  0.5000  8 F 2.90, 4 O 3.02
F  0.0000  0.5000  0.0000  2 Ta 2.14
O  0.0000  0.0000  0.5000  2 Ta 1.96
Ta  0.0000  0.0000  0.0000  2 O 1.96, 4 F 2.14

[3]
CuSbIr2 | PBE-GGA | optimized geometry

Results
DOS(E_F) (states/eV/atom): 0.455
Final energy (eV/atom): -6.4418
ρ (g cm⁻³): 15.4

a b c (Å): 4.6174 4.6174 4.6174
angles (deg): 126.63 126.63 78.85
With the nearest neighbours (Å) after each atom.
Positions (direct):
Cu  0.7500  0.2500  0.5000  8 Ir 2.73, 4 Sb 2.93
Ir  0.5000  0.5000  0.0000  4 Cu 2.73, 4 Sb 2.73, 4 Ir 2.93
Ir  0.0000  0.0000  0.0000  4 Sb 2.73, 4 Cu 2.73, 4 Ir 2.93
Sb  0.2500  0.7500  0.5000  8 Ir 2.73, 4 Cu 2.93

[4]
RuPb2 | PBE-GGA | optimized geometry

Results
Formation energy (eV per atom): 1.350
DOS(E_F) (states/eV/atom): 1.362
Final energy (eV/atom): -4.2145
ρ (g cm⁻³): 10.4

a b c (Å): 6.1470 6.1470 6.1470
angles (deg): 60.00 60.00 60.00
With the nearest neighbours (Å) after each atom.
Positions (direct):
Ru  0.5000  0.5000  0.5000  12 Pb 3.60, 4 Ru 3.76
Pb  0.1250  0.1250  0.1250  6 Pb 3.07
Pb  0.1250  0.6250  0.1250  6 Pb 3.07
Ru  0.7500  0.7500  0.7500  12 Pb 3.60, 4 Ru 3.76
Pb  0.1250  0.1250  0.6250  6 Pb 3.07
Pb  0.6250  0.1250  0.1250  6 Pb 3.07

[5]
Mn2GaPd3 | PBE-GGA | optimized geometry

Results
Formation energy (eV per atom): -0.354
DOS(E_F) (states/eV/atom): 0.429
Final energy (eV/atom): -6.5111
ρ (g cm⁻³): 9.2

a b c (Å): 4.4757 7.0619 6.0071
angles (deg): 90.00 90.00 71.89
With the nearest neighbours (Å) after each atom.
Positions (direct):
Pd  0.5000  0.0000  0.7496  2 Ga 2.64, 6 Mn 2.69-2.70
Pd  0.8301  0.3391  0.7556  3 Ga 2.68-2.70, 5 Mn 2.69-2.75, 1 Pd 2.94
Mn  0.0000  0.0000  0.0000  8 Pd 2.70-2.71, 2 Mn 3.00
Pd  0.1699  0.6609  0.7556  3 Ga 2.68-2.70, 5 Mn 2.69-2.75, 1 Pd 2.94
Pd  0.1699  0.6609  0.2444  3 Ga 2.68-2.70, 5 Mn 2.69-2.75, 1 Pd 2.94
Mn  0.6661  0.6681  0.5000  8 Pd 2.69-2.72, 2 Ga 3.00
Pd  0.5000  0.0000  0.2504  2 Ga 2.64, 6 Mn 2.69-2.70
Ga  0.3380  0.3228  0.0000  8 Pd 2.64-2.70
Mn  0.3339  0.3319  0.5000  8 Pd 2.69-2.72, 2 Ga 3.00
Ga  0.6620  0.6772  0.0000  8 Pd 2.64-2.70
Mn  0.0000  0.0000  0.5000  8 Pd 2.69-2.75, 2 Mn 3.00
Pd  0.8301  0.3391  0.2444  3 Ga 2.68-2.70, 5 Mn 2.69-2.75, 1 Pd 2.94

[6]
RbScGeO4 | PBE-GGA | optimized geometry

Results
DOS(E_F) (states/eV/atom): 0.000
Final energy (eV/atom): -6.8467
ρ (g cm⁻³): 3.9

a b c (Å): 5.4569 5.7606 8.1882
angles (deg): 90.00 117.67 90.00
With the nearest neighbours (Å) after each atom.
Positions (direct):
O  0.4014  0.7500  0.2115  1 Ge 1.76
O  0.4883  0.2500  0.4335  1 Ge 1.77
O  0.9897  0.5219  0.3342  1 Ge 1.81
Sc  0.1956  0.2500  0.5260  6 O 2.06-2.27
O  0.0103  0.0219  0.6658  1 Ge 1.81
O  0.9897  0.9781  0.3342  1 Ge 1.81
Ge  0.7764  0.2500  0.6562  4 O 1.76-1.81
O  0.0103  0.4781  0.6658  1 Ge 1.81
O  0.5117  0.7500  0.5665  1 Ge 1.77
Ge  0.2236  0.7500  0.3438  4 O 1.76-1.81
Sc  0.8044  0.7500  0.4740  6 O 2.06-2.27
Rb  0.5883  0.7500  0.9138  1 O 2.68
O  0.5986  0.2500  0.7885  1 Ge 1.76
Rb  0.4117  0.2500  0.0862  1 O 2.68

[7]
Y2WCl | PBE-GGA | optimized geometry

Results
DOS(E_F) (states/eV/atom): 1.128
Final energy (eV/atom): -6.6255
ρ (g cm⁻³): 6.5

a b c (Å): 5.8633 5.8633 5.8633
angles (deg): 145.88 113.18 77.20
With the nearest neighbours (Å) after each atom.
Positions (direct):
Cl  0.2500  0.7500  0.5000  4 Y 2.75
Y  0.0153  0.0153  0.0000  2 Cl 2.75, 2 W 2.98
Y  0.4847  0.4847  0.0000  2 Cl 2.75, 2 W 2.98
W  0.7500  0.2500  0.5000  4 Y 2.98

[8]
Y2BrCl | PBE-GGA | optimized geometry

Results
DOS(E_F) (states/eV/atom): 0.628
Final energy (eV/atom): -5.3268
ρ (g cm⁻³): 3.8

a b c (Å): 3.6349 3.6349 10.3895
angles (deg): 90.00 90.00 112.00
With the nearest neighbours (Å) after each atom.
Positions (direct):
Cl  0.5000  0.5000  0.8168  2 Y 2.71
Y  0.5000  0.5000  0.2513  2 Br 2.84
Br  0.0000  0.0000  0.4425  2 Y 2.84
Y  0.0000  0.0000  0.9893  2 Cl 2.71

[9]
Ba7Li2Au2 | PBE-GGA | optimized geometry

Results
Formation energy (eV per atom): -0.212
DOS(E_F) (states/eV/atom): 1.078
Final energy (eV/atom): -2.3794
ρ (g cm⁻³): 4.3

a b c (Å): 8.1233 8.3920 8.1233
angles (deg): 90.00 107.60 90.00
With the nearest neighbours (Å) after each atom.
Positions (direct):
Ba  0.0000  0.2557  0.5000  2 Au 3.26
Ba  0.0000  0.7443  0.5000  2 Au 3.26
Ba  0.5000  0.7443  0.0000  2 Au 3.26
Li  0.8421  0.5000  0.8421  1 Li 3.03
Au  0.7126  0.0000  0.2874  6 Ba 3.26-3.45
Ba  0.0000  0.0000  0.0000  2 Au 3.77
Ba  0.5000  0.2557  0.0000  2 Au 3.26
Ba  0.5000  0.2424  0.5000  2 Au 3.45
Au  0.2874  0.0000  0.7126  6 Ba 3.26-3.45
Ba  0.5000  0.7576  0.5000  2 Au 3.45
Li  0.1579  0.5000  0.1579  1 Li 3.03

[10]
Yb2AgSn | PBE-GGA | optimized geometry

Results
Formation energy (eV per atom): -0.579
DOS(E_F) (states/eV/atom): 7.379
Final energy (eV/atom): -3.0554
ρ (g cm⁻³): 9.2

a b c (Å): 5.2772 5.2772 5.2772
angles (deg): 60.00 60.00 60.00
With the nearest neighbours (Å) after each atom.
Positions (direct):
Yb  0.7500  0.7500  0.7500  4 Ag 3.23, 4 Sn 3.23
Sn  0.0000  0.0000  0.0000  8 Yb 3.23
Yb  0.2500  0.2500  0.2500  4 Ag 3.23, 4 Sn 3.23
Ag  0.5000  0.5000  0.5000  8 Yb 3.23

[11]
TmMnTe | PBE-GGA | optimized geometry

Results
DOS(E_F) (states/eV/atom): 0.609
Final energy (eV/atom): -6.0626
ρ (g cm⁻³): 7.5

a b c (Å): 3.8831 3.8831 10.2612
angles (deg): 90.00 90.00 90.00
With the nearest neighbours (Å) after each atom.
Positions (direct):
Mn  0.0000  0.5000  0.9438  5 Tm 2.91-3.26, 1 Te 2.97, 4 Mn 2.98
Te  0.5000  0.0000  0.3458  1 Mn 2.97, 4 Tm 3.00
Te  0.0000  0.5000  0.6542  1 Mn 2.97, 4 Tm 3.00
Mn  0.5000  0.0000  0.0562  5 Tm 2.91-3.26, 1 Te 2.97, 4 Mn 2.98
Tm  0.0000  0.5000  0.2277  5 Mn 2.91-3.26, 4 Te 3.00
Tm  0.5000  0.0000  0.7723  5 Mn 2.91-3.26, 4 Te 3.00

[12]
Zr3Pt2 | PBE-GGA | optimized geometry

Results
Formation energy (eV per atom): -0.848
DOS(E_F) (states/eV/atom): 1.115
Final energy (eV/atom): -8.3935
ρ (g cm⁻³): 10.9

a b c (Å): 3.4336 7.6635 7.6636
angles (deg): 90.00 90.00 90.00
With the nearest neighbours (Å) after each atom.
Positions (direct):
Pt  0.0000  0.6301  0.1301  8 Zr 2.78-3.01, 1 Pt 2.82
Zr  0.5000  0.3313  0.1687  6 Pt 2.78-2.88
Zr  0.0000  0.0000  0.0000  4 Pt 3.01, 8 Zr 3.33
Zr  0.5000  0.6687  0.8313  6 Pt 2.78-2.88
Pt  0.0000  0.8699  0.6301  8 Zr 2.78-3.01, 1 Pt 2.82
Zr  0.0000  0.5000  0.5000  4 Pt 3.01, 8 Zr 3.33
Zr  0.5000  0.1687  0.6687  6 Pt 2.78-2.88
Pt  0.0000  0.3699  0.8699  8 Zr 2.78-3.01, 1 Pt 2.82
Zr  0.5000  0.8313  0.3313  6 Pt 2.78-2.88
Pt  0.0000  0.1301  0.3699  8 Zr 2.78-3.01, 1 Pt 2.82

[13]
Mn3OsC | PBE-GGA | optimized geometry

Results
Formation energy (eV per atom): 0.129
DOS(E_F) (states/eV/atom): 1.002
Final energy (eV/atom): -9.4635
ρ (g cm⁻³): 11.4

a b c (Å): 3.7656 3.7656 3.7656
angles (deg): 90.00 90.00 90.00
With the nearest neighbours (Å) after each atom.
Positions (direct):
Mn  0.0000  0.5000  0.0000  2 C 1.88
Os  0.5000  0.5000  0.5000  12 Mn 2.66
C  0.0000  0.0000  0.0000  6 Mn 1.88
Mn  0.0000  0.0000  0.5000  2 C 1.88
Mn  0.5000  0.0000  0.0000  2 C 1.88

[14]
La3TiFe | PBE-GGA | optimized geometry

Results
Formation energy (eV per atom): 0.360
DOS(E_F) (states/eV/atom): 1.537
Final energy (eV/atom): -5.8676
ρ (g cm⁻³): 5.8

a b c (Å): 5.3096 5.3096 5.3096
angles (deg): 90.00 90.00 90.00
With the nearest neighbours (Å) after each atom.
Positions (direct):
La  0.0000  0.5000  0.0000  2 Fe 2.65
La  0.5000  0.0000  0.0000  2 Fe 2.65
La  0.0000  0.0000  0.5000  2 Fe 2.65
Ti  0.5000  0.5000  0.5000  12 La 3.75
Fe  0.0000  0.0000  0.0000  6 La 2.65

[15]
MnCd2Ni | PBE-GGA | optimized geometry

Results
Formation energy (eV per atom): 0.073
DOS(E_F) (states/eV/atom): 0.561
Final energy (eV/atom): -4.1228
ρ (g cm⁻³): 8.3

a b c (Å): 3.0830 3.1066 7.0451
angles (deg): 90.00 90.00 90.00
With the nearest neighbours (Å) after each atom.
Positions (direct):
Ni  0.5000  0.5000  0.7142  4 Mn 2.49
Cd  0.5000  0.5000  0.2801  4 Mn 2.88, 1 Ni 3.06, 8 Cd 3.08-3.14
Mn  0.0000  0.0000  0.5460  4 Ni 2.49
Cd  0.0000  0.0000  0.9597  4 Ni 2.79, 1 Mn 2.91, 4 Cd 3.08-3.11

[16]
BaMg2CdSe4 | PBE-GGA | optimized geometry

Results
Final energy (eV/atom): -3.6510
ρ (g cm⁻³): 4.8

a b c (Å): 4.1555 7.3458 14.5238
angles (deg): 90.00 90.00 106.43
With the nearest neighbours (Å) after each atom.
Positions (direct):
Se  0.7482  0.4963  0.6028  1 Cd 2.62, 3 Mg 2.80-2.88
Se  0.7482  0.4963  0.8972  1 Cd 2.62, 3 Mg 2.80-2.88
Se  0.0000  0.0000  0.5000  4 Mg 2.78
Se  0.2518  0.5037  0.1028  1 Cd 2.62, 3 Mg 2.80-2.88
Cd  0.1443  0.2886  0.2500  4 Se 2.59-2.62
Cd  0.8557  0.7114  0.7500  4 Se 2.59-2.62
Mg  0.6226  0.2451  0.4538  5 Se 2.78-2.88
Se  0.4649  0.9298  0.7500  2 Cd 2.59
Se  0.0000  0.0000  0.0000  4 Mg 2.78
Mg  0.6226  0.2451  0.0462  5 Se 2.78-2.88
Se  0.2518  0.5037  0.3972  1 Cd 2.62, 3 Mg 2.80-2.88
Se  0.5351  0.0702  0.2500  2 Cd 2.59
Ba  0.8636  0.7271  0.2500  6 Se 3.19-3.37
Ba  0.1364  0.2729  0.7500  6 Se 3.19-3.37
Mg  0.3774  0.7549  0.5462  5 Se 2.78-2.88
Mg  0.3774  0.7549  0.9538  5 Se 2.78-2.88

[17]
PaMnBi | PBE-GGA | optimized geometry

Results
Formation energy (eV per atom): 0.126
DOS(E_F) (states/eV/atom): 1.345
Final energy (eV/atom): -7.3891
ρ (g cm⁻³): 12.4

a b c (Å): 3.3447 3.3447 6.3854
angles (deg): 105.18 105.18 90.00
With the nearest neighbours (Å) after each atom.
Positions (direct):
Mn  0.6722  0.6722  0.3445  4 Pa 2.84, 4 Bi 2.95
Bi  0.0236  0.0236  0.0471  4 Mn 2.95
Pa  0.3042  0.3042  0.6084  4 Mn 2.84

[18]
MgGaTe2 | PBE-GGA | optimized geometry

Results
DOS(E_F) (states/eV/atom): 0.691
Final energy (eV/atom): -2.7957
ρ (g cm⁻³): 4.3

a b c (Å): 8.7603 8.7603 8.7603
angles (deg): 28.50 28.50 28.50
With the nearest neighbours (Å) after each atom.
Positions (direct):
Te  0.8946  0.8946  0.8946  1 Mg 2.66, 3 Ga 2.93
Mg  0.0000  0.0000  0.0000  2 Te 2.66
Te  0.1054  0.1054  0.1054  1 Mg 2.66, 3 Ga 2.93
Ga  0.5000  0.5000  0.5000  6 Te 2.93

[19]
RbUZnO5 | PBE-GGA | optimized geometry

Results
DOS(E_F) (states/eV/atom): 1.008
Final energy (eV/atom): -6.9559
ρ (g cm⁻³): 5.6

a b c (Å): 6.2862 6.2862 8.2187
angles (deg): 106.15 106.15 105.14
With the nearest neighbours (Å) after each atom.
Positions (direct):
U  0.0000  0.0000  0.0000  6 O 2.03-2.13
O  0.6507  0.7856  0.8902  1 Zn 1.98, 1 U 2.03
Rb  0.3302  0.6698  0.2500  7 O 2.75-3.02
O  0.7329  0.1089  0.3989  1 Zn 1.98, 1 U 2.03
O  0.1089  0.7329  0.8989  1 Zn 1.98, 1 U 2.03
Zn  0.6937  0.3063  0.2500  4 O 1.98
O  0.7856  0.6507  0.3902  1 Zn 1.98, 1 U 2.03
O  0.3493  0.2144  0.1098  1 Zn 1.98, 1 U 2.03
O  0.0544  0.9456  0.2500  2 U 2.13
O  0.2671  0.8911  0.6011  1 Zn 1.98, 1 U 2.03
O  0.9456  0.0544  0.7500  2 U 2.13
U  0.0000  0.0000  0.5000  6 O 2.03-2.13
Rb  0.6698  0.3302  0.7500  7 O 2.75-3.02
Zn  0.3063  0.6937  0.7500  4 O 1.98
O  0.8911  0.2671  0.1011  1 Zn 1.98, 1 U 2.03
O  0.2144  0.3493  0.6098  1 Zn 1.98, 1 U 2.03

[20]
LaCePt10 | PBE-GGA | optimized geometry

Results
Formation energy (eV per atom): -0.749
DOS(E_F) (states/eV/atom): 1.138
Final energy (eV/atom): -6.6882
ρ (g cm⁻³): 16.3

a b c (Å): 4.4485 5.4328 9.3847
angles (deg): 90.00 90.00 90.00
With the nearest neighbours (Å) after each atom.
Positions (direct):
Pt  0.5000  0.0000  0.5000  8 Pt 2.70-2.71
Pt  0.0000  0.0000  0.6641  6 Pt 2.71-2.73
Pt  0.0000  0.5000  0.1705  6 Pt 2.71-2.74
Pt  0.5000  0.5000  0.0000  8 Pt 2.72-2.74
Pt  0.5000  0.7488  0.7480  8 Pt 2.70-2.73
La  0.0000  0.0000  0.0000  18 Pt 3.15-3.52
Pt  0.5000  0.2512  0.2520  8 Pt 2.70-2.73
Pt  0.5000  0.2512  0.7480  8 Pt 2.70-2.73
Ce  0.0000  0.5000  0.5000  6 Pt 3.09-3.12
Pt  0.0000  0.0000  0.3359  6 Pt 2.71-2.73
Pt  0.0000  0.5000  0.8295  6 Pt 2.71-2.74
Pt  0.5000  0.7488  0.2520  8 Pt 2.70-2.73